Entry 1:
Entry from Alexandria: a relaxed YZn2In2 crystal (GGA-PBE).

The structure in POSCAR format:
```
YZn2In2
1.0
7.778 0.000 0.000
0.000 7.778 0.000
0.000 0.000 3.681
Y Zn In
2 4 4
Direct
0.000 0.000 0.000
0.500 0.500 0.000
0.118 0.382 0.000
0.382 0.882 0.000
0.618 0.118 0.000
0.882 0.618 0.000
0.179 0.679 0.500
0.321 0.179 0.500
0.679 0.821 0.500
0.821 0.321 0.500
```

Properties
N(E_F) = 3.689 states/eV per cell
DFT formation energy = -87 kJ/mol of formula units
Mass density = 6.70 Mg/m³

---

Entry 2:
Entry from Alexandria: a relaxed NaSeN2Cl crystal (GGA-PBE).

The structure in POSCAR format:
```
NaSeN2Cl
1.0
4.231 0.000 0.000
0.000 4.231 0.000
0.000 0.000 5.283
Na Se N Cl
1 1 2 1
Direct
0.000 0.000 0.000
0.500 0.500 0.000
0.000 0.500 0.500
0.500 0.000 0.500
0.500 0.500 0.500
```

Properties
N(E_F) = 1.891 states/eV per cell
ΔE to the lowest computed polymorph = 0.000 eV per atom
Uncorrected formation energy = 1.751 eV/atom
Mass density = 2.90 Mg/m³

---

Entry 3:
Entry from Alexandria: a relaxed Co2Ag2Te crystal (GGA-PBE).

The structure in POSCAR format:
```
Co2Ag2Te
1.0
-1.899 1.899 6.187
1.899 -1.899 6.187
1.899 1.899 -6.187
Co Ag Te
2 2 1
Direct
0.089 0.089 0.000
0.911 0.911 0.000
0.250 0.750 0.500
0.750 0.250 0.500
0.500 0.500 0.000
```

Properties
N(E_F) = 5.885 states/eV per cell
ΔE to the lowest computed polymorph = 0.217 eV per atom
Uncorrected formation energy = 0.533 eV/atom
Mass density = 8.58 Mg/m³

---

Entry 4:
Entry from Alexandria: a relaxed K4Pr3TmSe8 crystal (GGA-PBE).

The structure in POSCAR format:
```
K4Pr3TmSe8
1.0
4.329 2.499 7.709
-4.329 2.499 7.709
0.000 -4.998 7.709
K Pr Tm Se
4 3 1 8
Direct
0.000 0.000 0.000
0.000 0.500 0.500
0.500 0.000 0.500
0.500 0.500 0.000
0.000 0.000 0.500
0.000 0.500 0.000
0.500 0.000 0.000
0.500 0.500 0.500
0.238 0.238 0.238
0.247 0.730 0.730
0.270 0.270 0.753
0.270 0.753 0.270
0.730 0.247 0.730
0.730 0.730 0.247
0.753 0.270 0.270
0.762 0.762 0.762
```

Properties
N(E_F) = 0.000 states/eV per cell
Uncorrected formation energy = -1.744 eV/atom
Mass density = 4.58 Mg/m³

---

Entry 5:
Entry from Alexandria: a relaxed SrSiTc2I crystal (GGA-PBE).

The structure in POSCAR format:
```
SrSiTc2I
1.0
4.907 0.000 0.000
0.000 4.907 0.000
0.000 0.000 5.925
Sr Si Tc I
1 1 2 1
Direct
0.000 0.000 0.000
0.500 0.500 0.000
0.000 0.500 0.500
0.500 0.000 0.500
0.000 0.000 0.500
```

Properties
N(E_F) = 5.216 states/eV per cell
Uncorrected formation energy = 1.569 eV/atom
Mass density = 5.10 Mg/m³

---

Entry 6:
Entry from Alexandria: a relaxed KGa2Au2 crystal (GGA-PBE).

The structure in POSCAR format:
```
KGa2Au2
1.0
-2.314 2.314 5.485
2.314 -2.314 5.485
2.314 2.314 -5.485
K Ga Au
1 2 2
Direct
0.000 0.000 0.000
0.250 0.750 0.500
0.750 0.250 0.500
0.371 0.371 0.000
0.629 0.629 0.000
```

Properties
N(E_F) = 1.987 states/eV per cell
ΔE to the lowest computed polymorph = 0.021 eV per atom
DFT formation energy = -143 kJ/mol of formula units
Mass density = 8.09 Mg/m³